Entry 1:
# La2Ga3Hg3

A relaxed La2Ga3Hg3 crystal (GGA-PBE, OQMD via LeMat-Bulk).

Lattice parameters (Å, degrees): 4.8195 6.8450 6.8450 59.34 90.00 90.00
Last column: nearest neighbours and their distance in Å.
Atoms (fractional coordinates):
1 Hg 0.0000 0.8332 0.3109  3 Ga 3.02-3.11, 3 Hg 3.07-3.24, 3 La 3.22-3.30
2 Ga 0.0000 0.8489 0.8489  4 Ga 2.95, 2 Hg 3.11, 2 La 3.19
3 La 0.0000 0.3382 0.3382  6 Ga 3.22-3.39, 6 Hg 3.24-3.56
4 Ga 0.5000 0.1391 0.6998  3 Ga 2.95-2.98, 3 Hg 3.02-3.19, 3 La 3.22-3.28
5 Hg 0.0000 0.3109 0.8332  3 Ga 3.02-3.11, 3 Hg 3.07-3.24, 3 La 3.22-3.30
6 Hg 0.5000 0.1565 0.1565  4 Hg 3.07, 2 Ga 3.19, 4 La 3.24-3.39
7 Ga 0.5000 0.6998 0.1391  3 Ga 2.95-2.98, 3 Hg 3.02-3.19, 3 La 3.22-3.28
8 La 0.5000 0.6734 0.6734  6 Ga 3.19-3.57, 6 Hg 3.22-3.39

Results
Energy above the lowest structure with this stoichiometry = 0.002 eV/atom
Size of the total moment = 0.001 μB per atom
SG = Amm2, No. 38

Entry 2:
# Sr3Nb2O8

A relaxed Sr3Nb2O8 crystal (GGA-PBE, OQMD via LeMat-Bulk).

Lattice parameters (Å, degrees): 7.5306 7.5306 7.5306 46.25 46.25 46.25
Last column: nearest neighbours and their distance in Å.
Atoms (fractional coordinates):
1 O 0.2621 0.2621 0.7800  1 Nb 1.87
2 Sr 0.0000 0.0000 0.0000  6 O 2.62
3 O 0.6876 0.6876 0.6876  1 Nb 1.85
4 O 0.7800 0.2621 0.2621  1 Nb 1.87
5 O 0.7379 0.7379 0.2200  1 Nb 1.87
6 O 0.2621 0.7800 0.2621  1 Nb 1.87
7 O 0.3124 0.3124 0.3124  1 Nb 1.85
8 Sr 0.1949 0.1949 0.1949  4 O 2.37-2.50
9 Nb 0.4044 0.4044 0.4044  4 O 1.85-1.87
10 Nb 0.5956 0.5956 0.5956  4 O 1.85-1.87
11 O 0.7379 0.2200 0.7379  1 Nb 1.87
12 O 0.2200 0.7379 0.7379  1 Nb 1.87
13 Sr 0.8051 0.8051 0.8051  4 O 2.37-2.50

Results
Size of the total moment = 0.000 μB per atom
SG = R-3m, No. 166

Going through the records in order, we get final energy values of -2.94; -7.82 eV/atom.